[1]
DFT (PBE) results for a relaxed structure of BaFeP.

Geometry as POSCAR:
```
BaFeP
1.0
4.8718 0.0000 0.0000
2.4359 4.2191 0.0000
2.4359 1.4064 3.9778
Ba P Fe
1 1 1
Cartesian
0.0000 0.0000 0.0000 Ba
2.4359 1.4064 0.9944 P
4.8718 2.8127 1.9889 Fe
```

Output
Energy of formation from the pure elements (meV per atom): 215.4

***

[2]
DFT (PBE) results for a relaxed structure of Zr2NpPd.

Geometry as POSCAR:
```
Zr2NpPd
1.0
4.8758 0.0000 0.0000
2.4379 4.2226 0.0000
2.4379 1.4075 3.9811
Zr Np Pd
2 1 1
Cartesian
7.3137 4.2226 2.9858 Zr
2.4379 1.4075 0.9953 Zr
0.0000 0.0000 0.0000 Np
4.8758 2.8151 1.9905 Pd
```

Output
Energy above the lowest structure with this stoichiometry (meV/atom): 265
Energy of formation from the pure elements (meV per atom): 147.6

***

[3]
DFT (PBE) results for a relaxed structure of Li3Zn6Cu.

Geometry as POSCAR:
```
Li3Zn6Cu
1.0
-4.0057 1.6319 -0.5103
-2.7770 -4.1106 8.6537
2.6642 6.7137 0.5560
Cu Li Zn
2 6 12
Cartesian
-1.0435 2.2294 6.0279 Cu
-3.0749 2.0056 2.6715 Cu
-0.8447 7.0309 1.2352 Li
-3.2738 -2.7959 7.4643 Li
0.5886 5.1800 2.6519 Li
-4.7070 -0.9450 6.0476 Li
-2.0163 4.4082 2.0452 Li
-2.1021 -0.1732 6.6542 Li
-3.5751 1.6071 5.3237 Zn
-4.1931 0.9336 8.0212 Zn
-0.0097 4.5226 5.2459 Zn
-2.4752 2.6527 0.0336 Zn
0.0747 3.3013 0.6783 Zn
-2.5315 3.9482 4.6188 Zn
-1.5869 0.2867 4.0806 Zn
-1.6432 1.5822 8.6659 Zn
-0.9985 0.9074 1.4464 Zn
-4.1087 -0.2876 3.4535 Zn
-3.1200 3.3275 7.2531 Zn
-0.5434 2.6278 3.3757 Zn
```

Output
Energy above the lowest structure with this stoichiometry (meV/atom): 0
Energy of formation from the pure elements (meV per atom): -145.3

***

[4]
DFT (PBE) results for a relaxed structure of RbNdBeTe3.

Geometry as POSCAR:
```
RbNdBeTe3
1.0
5.3079 0.0000 0.0000
-2.6540 8.4760 0.1299
0.0000 -2.3206 9.3872
Nd Be Te Rb
2 2 6 2
Cartesian
2.6540 1.1761 5.3342 Nd
0.0000 4.9793 4.1829 Nd
0.0000 -0.5535 2.7084 Be
2.6540 6.7089 6.8087 Be
2.6540 5.5208 2.2728 Te
0.0000 1.9112 3.3281 Te
2.6540 4.2442 6.1890 Te
0.0000 0.6346 7.2443 Te
2.6540 -0.5926 2.7338 Te
0.0000 6.7480 6.7833 Te
2.6540 2.3389 0.5633 Rb
0.0000 3.8165 8.9538 Rb
```

Output
Formation energy without anion corrections (eV per formula unit): -4.692

***

[5]
DFT (PBE) results for a relaxed structure of BAsF2.

Geometry as POSCAR:
```
BAsF2
1.0
2.2519 -2.2510 -2.5898
1.9447 -3.3519 1.3521
-1.2944 -3.7240 -1.1409
F As B
2 1 1
Cartesian
0.7255 -2.3317 -0.5946 F
2.1766 -6.9952 -1.7839 F
1.4511 -4.6634 -1.1893 As
0.0000 0.0000 0.0000 B
```

Output
Formation energy without anion corrections (eV per formula unit): 1.631
Energy above the lowest structure with this stoichiometry (meV/atom): 1145

***

[6]
DFT (PBE) results for a relaxed structure of LiRh3.

Geometry as POSCAR:
```
LiRh3
1.0
-1.3759 -0.8430 -2.1744
-1.5112 -3.3836 2.2681
-3.6634 2.5319 1.3365
Rh Li
3 1
Cartesian
-4.5046 0.0023 1.1636 Rh
-1.9595 -0.8597 1.5732 Rh
-2.5330 0.8536 -0.4141 Rh
-3.6590 2.5289 1.3349 Li
```

Output
Energy of formation from the pure elements (meV per atom): -67.4

***

[7]
DFT (PBE) results for a relaxed structure of CsRb2GaCl6.

Geometry as POSCAR:
```
CsRb2GaCl6
1.0
-2.8570 -6.0000 4.3646
3.9861 -5.1860 -4.5198
4.9898 -5.1941 3.3674
Cl Ga Rb Cs
6 1 2 1
Cartesian
2.4498 -5.4230 1.3901 Cl
0.3240 -3.2102 -0.0445 Cl
0.8051 -7.9757 -0.1106 Cl
-0.8931 -5.7664 1.8149 Cl
3.6691 -10.9570 1.8222 Cl
2.0223 -5.4196 -1.9701 Cl
0.5646 -5.5930 -0.0776 Ga
1.3487 -8.3935 3.8272 Rb
4.7703 -7.9865 -0.6150 Rb
0.0000 0.0000 0.0000 Cs
```

Output
Formation energy without anion corrections (eV per formula unit): -15.758

***

[8]
DFT (PBE) results for a relaxed structure of Hf2FeNi.

Geometry as POSCAR:
```
Hf2FeNi
1.0
3.1791 0.0000 0.0000
0.0000 3.1791 0.0000
0.0000 0.0000 6.2668
Ni Hf Fe
1 2 1
Cartesian
1.5895 1.5895 3.1334 Ni
0.0000 0.0000 1.5436 Hf
0.0000 0.0000 4.7232 Hf
1.5895 1.5895 0.0000 Fe
```

Output
Energy of formation from the pure elements (meV per atom): -364.9

***

Number 1: total magnetization 1.00 μB/atom. Number 2: total magnetization 1.26 μB/atom. Number 3: total magnetization 0.00 μB/atom. Number 4: total magnetization 0.00 μB/atom. Number 5: total magnetization 0.00 μB/atom. Number 6: total magnetization 0.00 μB/atom. Number 7: total magnetization 0.00 μB/atom. Number 8: total magnetization 0.16 μB/atom.